Entry 1:
VASP calculation (GGA-PBE) on a geometry-optimized Sr4Tl5Hg3 structure.

For the total moment, the calculation gives 0.0 μB per formula unit. The calculation puts the total DFT energy (no corrections) at -1.912 eV/atom.

The space group is C2/m (No. 12) and the conventional cell measures 19.8319, 5.8718 and 7.2677 Å, with angles of 90.00, 106.91 and 90.00 degrees. The inequivalent atoms are Sr at (0.1074, 0.0000, 0.4401), Sr at (0.1966, 0.5000, 0.1189), Tl at (0.0000, 0.5000, 0.0000), Tl at (0.0700, 0.5000, 0.6647), Tl at (0.2273, 0.5000, 0.6269), Hg at (0.0000, 0.0000, 0.0000) and Hg at (0.1385, 0.0000, 0.9173).

Entry 2:
VASP calculation (GGA-PBE) on a geometry-optimized Sr3Tl3Hg2 structure.

As for the energy relative to the lowest polymorph listed for this composition: 7 kJ/mol of formula units. For the total moment, the calculation gives 0.0 μB per formula unit. The calculation puts the total DFT energy (no corrections) at -1.983 eV/atom.

The space group is P-62m (No. 189) and the conventional cell measures 8.5071, 8.5071 and 4.1833 Å, with angles of 90.00, 90.00 and 120.00 degrees. The inequivalent atoms are Sr at (0.0000, 0.6079, 0.0000), Tl at (0.0000, 0.2322, 0.5000) and Hg at (0.3333, 0.6667, 0.5000).

What is the formula in the second record?
Sr3Tl3Hg2